Model w:
Tm2AsSe | PBE | relaxed

a = 4.0407 Å, b = 4.0407 Å, c = 19.8710 Å
α = 90.00°, β = 90.00°, γ = 120.00°
Closest atoms and distances in Å follow each position.
Space group R-3m (No. 166, hexagonal axes)
Unique sites:
Tm: 0.0000 0.0000 0.2456  3 As 2.81, 3 Se 2.91
As: 0.0000 0.0000 0.5000  6 Tm 2.81
Se: 0.0000 0.0000 0.0000  6 Tm 2.91

---

Model x:
Tm2AsSe | PBE | relaxed

a = 3.9725 Å, b = 3.9725 Å, c = 20.9155 Å
α = 90.00°, β = 90.00°, γ = 120.00°
Closest atoms and distances in Å follow each position.
Space group R3m (No. 160, hexagonal axes)
Unique sites:
Tm: 0.0000 0.0000 0.0000  3 As 2.77, 3 Se 2.95
Tm: 0.0000 0.0000 0.1805  3 As 2.82, 3 Se 2.99
As: 0.0000 0.0000 0.5920  6 Tm 2.77-2.82
Se: 0.0000 0.0000 0.4223  6 Tm 2.95-2.99

---

Sorted by energy, starting with the most stable: model w, model x.

---

Model w:
Tm5AsSe4 | PBE | relaxed

a = 4.0391 Å, b = 4.0391 Å, c = 49.0409 Å
α = 90.00°, β = 90.00°, γ = 120.00°
Closest atoms and distances in Å follow each position.
Space group R-3m (No. 166, hexagonal axes)
Unique sites:
Tm: 0.0000 0.0000 0.0000  6 Se 2.84
Tm: 0.0000 0.0000 0.1986  3 As 2.81, 3 Se 2.90
Tm: 0.0000 0.0000 0.3990  6 Se 2.83-2.86
As: 0.0000 0.0000 0.5000  6 Tm 2.81
Se: 0.0000 0.0000 0.0994  6 Tm 2.86-2.90
Se: 0.0000 0.0000 0.3003  6 Tm 2.83-2.84

---

Model x:
Tm5AsSe4 | PBE | relaxed

a = 4.0379 Å, b = 5.6744 Å, c = 20.1280 Å
α = 90.00°, β = 90.00°, γ = 90.00°
Closest atoms and distances in Å follow each position.
Space group Immm (No. 71)
Unique sites:
Tm: 0.0000 0.0000 0.0000  2 As 2.84, 4 Se 2.86
Tm: 0.0000 0.0000 0.2007  6 Se 2.84-2.85
Tm: 0.0000 0.0000 0.4034  2 As 2.80, 4 Se 2.84-2.89
As: 0.0000 0.5000 0.0000  6 Tm 2.80-2.84
Se: 0.0000 0.5000 0.1994  6 Tm 2.84-2.89
Se: 0.0000 0.5000 0.3991  6 Tm 2.84-2.86

---

Sorted by energy, starting with the most stable: model x, model w.

---

Model w:
U3AsSe3 | PBE | relaxed

a = 8.9454 Å, b = 8.9454 Å, c = 7.3862 Å
α = 90.00°, β = 90.00°, γ = 120.00°
Closest atoms and distances in Å follow each position.
Space group R3m (No. 160, hexagonal axes)
Unique sites:
U: 0.9998 0.4999 0.0000  2 As 2.85-2.87, 5 Se 2.92-3.05
As: 0.0000 0.0000 0.5031  6 U 2.85-2.87
Se: 0.0662 0.5331 0.5932  5 U 2.92-3.05

---

Model x:
U3AsSe3 | PBE | relaxed

a = 5.7161 Å, b = 5.7161 Å, c = 5.7161 Å
α = 90.00°, β = 90.00°, γ = 90.00°
Closest atoms and distances in Å follow each position.
Space group Pm-3m (No. 221)
Unique sites:
U: 0.0000 0.0000 0.5000  4 Se 2.86, 2 As 2.86
As: 0.0000 0.0000 0.0000  6 U 2.86
Se: 0.0000 0.5000 0.5000  4 U 2.86

---

Sorted by energy, starting with the most stable: model x, model w.

---

Model w:
VAs3Se | PBE | relaxed

a = 4.7366 Å, b = 4.7366 Å, c = 4.7366 Å
α = 90.00°, β = 90.00°, γ = 90.00°
Closest atoms and distances in Å follow each position.
Space group Pm-3m (No. 221)
Unique sites:
V: 0.0000 0.0000 0.0000  6 As 2.37
As: 0.0000 0.0000 0.5000  2 V 2.37
Se: 0.5000 0.5000 0.5000  12 As 3.35

---

Model x:
VAs3Se | PBE | relaxed

a = 4.9620 Å, b = 4.9620 Å, c = 4.9620 Å
α = 90.00°, β = 90.00°, γ = 90.00°
Closest atoms and distances in Å follow each position.
Space group Pm-3m (No. 221)
Unique sites:
V: 0.0000 0.0000 0.0000  12 As 3.51
As: 0.0000 0.5000 0.5000  2 Se 2.48
Se: 0.5000 0.5000 0.5000  6 As 2.48

---

Sorted by energy, starting with the most stable: model w, model x.